No. 1
{"formula": "La3BiO", "functional": "PBE", "state": "optimized geometry", "lattice_angstrom": [[4.262, 0.002, 0.001], [-2.126, 9.336, 2.251], [0.001, -1.052, 7.996]], "species": ["O", "La", "La", "La", "Bi", "O", "La", "La", "Bi", "La"], "frac_coords": [[0.213, 0.426, 0.918], [0.000, 0.996, 0.273], [0.806, 0.613, 0.369], [0.194, 0.387, 0.631], [0.396, 0.792, 0.570], [0.787, 0.574, 0.082], [0.670, 0.339, 0.024], [0.000, 0.004, 0.727], [0.604, 0.208, 0.430], [0.330, 0.661, 0.976]], "space_group": "P-1", "polymorph_energy_ev_per_fu": 0.670, "e_tot_ev_per_atom": -6.110}

No. 2
{"formula": "La3Bi5O12", "functional": "PBE", "state": "optimized geometry", "lattice_angstrom": [[12.246, 0.000, 0.000], [-4.082, 11.546, 0.000], [-4.082, -5.773, 9.999]], "species": ["O", "O", "O", "O", "O", "O", "O", "O", "La", "O", "Bi", "Bi", "La", "O", "O", "Bi", "O", "O", "O", "O", "O", "O", "Bi", "O", "O", "Bi", "O", "O", "La", "La", "O", "O", "Bi", "La", "La", "La", "Bi", "Bi", "O", "Bi", "O", "O", "O", "La", "O", "O", "Bi", "Bi", "Bi", "O", "O", "Bi", "O", "O", "Bi", "O", "La", "O", "O", "O", "Bi", "O", "La", "O", "Bi", "O", "O", "Bi", "O", "O", "Bi", "La", "La", "O", "Bi", "O", "O", "O", "Bi", "O"], "frac_coords": [[0.779, 0.327, 0.914], [0.279, 0.414, 0.827], [0.635, 0.048, 0.221], [0.327, 0.548, 0.414], [0.827, 0.914, 0.279], [0.135, 0.414, 0.086], [0.173, 0.086, 0.952], [0.086, 0.914, 0.135], [0.875, 0.125, 0.250], [0.086, 0.914, 0.365], [0.375, 0.250, 0.125], [0.250, 0.875, 0.125], [0.750, 0.875, 0.625], [0.414, 0.365, 0.586], [0.086, 0.173, 0.452], [0.750, 0.125, 0.875], [0.673, 0.221, 0.586], [0.365, 0.952, 0.779], [0.635, 0.586, 0.914], [0.548, 0.327, 0.914], [0.914, 0.086, 0.635], [0.414, 0.135, 0.586], [0.000, 0.500, 0.000], [0.048, 0.635, 0.721], [0.135, 0.721, 0.548], [0.125, 0.750, 0.375], [0.548, 0.221, 0.135], [0.865, 0.279, 0.452], [0.875, 0.750, 0.125], [0.625, 0.375, 0.750], [0.327, 0.779, 0.414], [0.865, 0.586, 0.914], [0.500, 0.500, 0.000], [0.125, 0.875, 0.750], [0.375, 0.750, 0.625], [0.375, 0.625, 0.250], [0.000, 0.500, 0.500], [0.375, 0.125, 0.750], [0.721, 0.135, 0.048], [0.750, 0.625, 0.375], [0.221, 0.548, 0.635], [0.279, 0.865, 0.952], [0.721, 0.586, 0.173], [0.250, 0.125, 0.375], [0.827, 0.914, 0.048], [0.914, 0.827, 0.548], [0.500, 0.000, 0.500], [0.875, 0.625, 0.750], [0.500, 0.000, 0.000], [0.221, 0.673, 0.086], [0.586, 0.952, 0.673], [0.250, 0.375, 0.625], [0.952, 0.586, 0.173], [0.414, 0.048, 0.327], [0.125, 0.375, 0.250], [0.779, 0.452, 0.365], [0.750, 0.375, 0.125], [0.586, 0.721, 0.673], [0.452, 0.779, 0.865], [0.914, 0.827, 0.779], [0.625, 0.750, 0.875], [0.414, 0.279, 0.327], [0.250, 0.625, 0.875], [0.586, 0.865, 0.414], [0.000, 0.000, 0.000], [0.586, 0.635, 0.414], [0.452, 0.673, 0.086], [0.625, 0.875, 0.250], [0.086, 0.173, 0.221], [0.173, 0.086, 0.721], [0.000, 0.000, 0.500], [0.625, 0.250, 0.375], [0.125, 0.250, 0.875], [0.914, 0.086, 0.865], [0.875, 0.250, 0.625], [0.048, 0.414, 0.827], [0.673, 0.452, 0.586], [0.952, 0.365, 0.279], [0.500, 0.500, 0.500], [0.365, 0.414, 0.086]], "space_group": "Ia-3d", "e_tot_ev_per_atom": -6.616}

No. 3
{"formula": "LaBiOsO6", "functional": "PBE", "state": "optimized geometry", "lattice_angstrom": [[5.787, 0.000, 0.000], [-2.894, 5.012, 0.000], [0.000, 0.000, 9.244]], "species": ["O", "O", "O", "La", "Bi", "O", "O", "O", "O", "Bi", "La", "O", "Os", "Os", "O", "O", "O", "O"], "frac_coords": [[0.942, 0.325, 0.132], [0.058, 0.675, 0.868], [0.383, 0.058, 0.132], [0.333, 0.667, 0.250], [0.000, 0.000, 0.500], [0.617, 0.942, 0.868], [0.675, 0.617, 0.132], [0.058, 0.383, 0.632], [0.675, 0.058, 0.368], [0.000, 0.000, 0.000], [0.667, 0.333, 0.750], [0.325, 0.942, 0.632], [0.333, 0.667, 0.750], [0.667, 0.333, 0.250], [0.383, 0.325, 0.368], [0.325, 0.383, 0.868], [0.942, 0.617, 0.368], [0.617, 0.675, 0.632]], "space_group": "P-31c", "e_tot_ev_per_atom": -7.212}